(1)
Compound: Li3Ho2ScS6
Source: the Alexandria database
Functional: PBE
Structure: optimized geometry

Structure (POSCAR):
```
Li3Ho2ScS6
1.0
3.3171 -5.7497 0.0000
3.3171 5.7497 0.0000
-2.1991 0.0000 6.1415
Li Ho Sc S
3 2 1 6
direct
0.0000 0.0000 0.0000
0.3386 0.6614 0.0000
0.6614 0.3386 0.0000
0.1671 0.8329 0.5000
0.8329 0.1671 0.5000
0.5000 0.5000 0.5000
0.0963 0.4180 0.2529
0.2594 0.2594 0.7450
0.4180 0.0963 0.2529
0.5820 0.9037 0.7471
0.7406 0.7406 0.2550
0.9037 0.5820 0.7471
```

Calculated values
**Electronic total energy**: -5.655 eV/atom
**Uncorrected formation energy**: -1.8220 eV/atom
**Crystal system**: monoclinic
**Space-group type**: No. 12

(2)
Compound: LiHo2ScS4
Source: the Alexandria database
Functional: PBE
Structure: optimized geometry

Structure (POSCAR):
```
LiHo2ScS4
1.0
6.5218 0.0000 0.0000
0.0000 3.8052 0.0000
-2.2151 0.0000 6.2450
Li Ho Sc S
1 2 1 4
direct
0.0000 0.0000 0.0000
0.5000 0.0000 0.5000
0.5000 0.5000 0.0000
0.0000 0.5000 0.5000
0.2360 0.0000 0.7467
0.2377 0.5000 0.2466
0.7623 0.5000 0.7534
0.7640 0.0000 0.2533
```

Calculated values
**Electronic total energy**: -6.137 eV/atom
**Uncorrected formation energy**: -1.8979 eV/atom
**Crystal system**: monoclinic
**Space-group type**: No. 10

(3)
Compound: LiHo4Sc3S8
Source: the Alexandria database
Functional: PBE
Structure: optimized geometry

Structure (POSCAR):
```
LiHo4Sc3S8
1.0
3.7998 2.1938 6.1606
-3.7998 2.1938 6.1606
0.0000 -4.3876 6.1606
Li Ho Sc S
1 4 3 8
direct
0.0000 0.0000 0.0000
0.0000 0.0000 0.5000
0.0000 0.5000 0.0000
0.5000 0.0000 0.0000
0.5000 0.5000 0.5000
0.0000 0.5000 0.5000
0.5000 0.0000 0.5000
0.5000 0.5000 0.0000
0.2440 0.2440 0.7470
0.2440 0.7470 0.2440
0.2530 0.7560 0.7560
0.2545 0.2545 0.2545
0.7455 0.7455 0.7455
0.7470 0.2440 0.2440
0.7560 0.2530 0.7560
0.7560 0.7560 0.2530
```

Calculated values
**Electronic total energy**: -6.420 eV/atom
**Uncorrected formation energy**: -1.9048 eV/atom
**Crystal system**: trigonal
**Space-group type**: No. 166

(4)
Compound: Li3HoSc4S8
Source: the Alexandria database
Functional: PBE
Structure: optimized geometry

Structure (POSCAR):
```
Li3HoSc4S8
1.0
3.7054 2.1393 6.1642
-3.7054 2.1393 6.1642
0.0000 -4.2786 6.1642
Li Ho Sc S
3 1 4 8
direct
0.0000 0.5000 0.5000
0.5000 0.0000 0.5000
0.5000 0.5000 0.0000
0.0000 0.0000 0.0000
0.0000 0.0000 0.5000
0.0000 0.5000 0.0000
0.5000 0.0000 0.0000
0.5000 0.5000 0.5000
0.2466 0.2466 0.2466
0.2527 0.7453 0.7453
0.2547 0.2547 0.7473
0.2547 0.7473 0.2547
0.7453 0.2527 0.7453
0.7453 0.7453 0.2527
0.7473 0.2547 0.2547
0.7534 0.7534 0.7534
```

Calculated values
**Electronic total energy**: -6.125 eV/atom
**Uncorrected formation energy**: -1.8331 eV/atom
**Crystal system**: trigonal
**Space-group type**: No. 166

Question: The highest electronic total energy belongs to which entry?
Answer: Li3Ho2ScS6

Question: Which value of electronic total energy does entry 4 give?
Answer: -6.125 eV/atom

Question: Which value of uncorrected formation energy does entry 2 give?
Answer: -1.8979 eV/atom

Question: Which of these has the lowest uncorrected formation energy?
Answer: LiHo4Sc3S8